Record 1
## K2Au (SCAN)

Data for a crystal of K2Au relaxed with PBEsol.

Results
Its formation energy is -270.9 meV/atom.

Cell lengths 4.9470, 8.7256, 8.7256 Å; angles 120.00, 90.00, 90.00 degrees
With the nearest neighbours (Å) after each atom.
Fractional coordinates of all 9 atoms:
Au 0.0000 0.6667 0.3333  9 K 3.29-3.61
Au 0.0000 0.3333 0.6667  9 K 3.29-3.61
Au 0.5000 0.0000 0.0000  9 K 3.34-3.62
K 0.0000 0.7427 0.7427  4 Au 3.29-3.34
K 0.0000 0.0000 0.2573  4 Au 3.29-3.34
K 0.0000 0.2573 0.0000  4 Au 3.29-3.34
K 0.5000 0.4143 0.4143  5 Au 3.61-3.62, 6 K 3.79-4.01
K 0.5000 0.0000 0.5857  5 Au 3.61-3.62, 6 K 3.79-4.01
K 0.5000 0.5857 0.0000  5 Au 3.61-3.62, 6 K 3.79-4.01

---

Record 2
## Li2CrH4O6 (SCAN)

Data for a crystal of Li2CrH4O6 relaxed with PBEsol.

Cell lengths 5.4795, 7.6428, 11.8147 Å; angles 90.00, 90.00, 90.00 degrees
With the nearest neighbours (Å) after each atom.
Fractional coordinates of all 52 atoms:
Li 0.1740 0.1373 0.8726  4 O 1.91-1.96
Li 0.6740 0.3627 0.1274  4 O 1.91-1.96
Li 0.8260 0.6373 0.6274  4 O 1.91-1.96
Li 0.3260 0.8627 0.3726  4 O 1.91-1.96
Li 0.0803 0.2073 0.5008  5 O 2.03-2.13
Li 0.5803 0.2927 0.4992  5 O 2.03-2.13
Li 0.9197 0.7073 0.9992  5 O 2.03-2.13
Li 0.4197 0.7927 0.0008  5 O 2.03-2.13
Cr 0.1730 0.1177 0.1357  4 O 1.62-1.67
Cr 0.6730 0.3823 0.8643  4 O 1.62-1.67
Cr 0.8270 0.6177 0.3643  4 O 1.62-1.67
Cr 0.3270 0.8823 0.6357  4 O 1.62-1.67
H 0.2625 0.4873 0.6151  1 O 1.00
H 0.7625 0.0127 0.3849  1 O 1.00
H 0.7375 0.9873 0.8849  1 O 1.00
H 0.2375 0.5127 0.1151  1 O 1.00
H 0.3254 0.3275 0.6921  1 O 0.99
H 0.8254 0.1725 0.3079  1 O 0.99
H 0.6746 0.8275 0.8079  1 O 0.99
H 0.1746 0.6725 0.1921  1 O 0.99
H 0.3365 0.2988 0.3079  1 O 0.99
H 0.8365 0.2012 0.6921  1 O 0.99
H 0.6635 0.7988 0.1921  1 O 0.99
H 0.1635 0.7012 0.8079  1 O 0.99
H 0.2540 0.4608 0.3777  1 O 1.00
H 0.7540 0.0392 0.6223  1 O 1.00
H 0.7460 0.9608 0.1223  1 O 1.00
H 0.2460 0.5392 0.8777  1 O 1.00
O 0.3009 0.3595 0.6116  2 H 0.99-1.00
O 0.8009 0.1405 0.3884  2 H 0.99-1.00
O 0.6991 0.8595 0.8884  2 H 0.99-1.00
O 0.1991 0.6405 0.1116  2 H 0.99-1.00
O 0.3048 0.3356 0.3866  2 H 0.99-1.00
O 0.8048 0.1644 0.6134  2 H 0.99-1.00
O 0.6952 0.8356 0.1134  2 H 0.99-1.00
O 0.1952 0.6644 0.8866  2 H 0.99-1.00
O 0.3275 0.3038 0.1417  1 Cr 1.66, 1 H 1.70
O 0.8275 0.1962 0.8583  1 Cr 1.66, 1 H 1.70
O 0.6725 0.8038 0.3583  1 Cr 1.66, 1 H 1.70
O 0.1725 0.6962 0.6417  1 Cr 1.66, 1 H 1.70
O 0.3761 0.3419 0.8492  1 Cr 1.67, 1 H 1.70
O 0.8761 0.1581 0.1508  1 Cr 1.67, 1 H 1.70
O 0.6239 0.8419 0.6508  1 Cr 1.67, 1 H 1.70
O 0.1239 0.6581 0.3492  1 Cr 1.67, 1 H 1.70
O 0.2215 0.0167 0.0145  1 Cr 1.65
O 0.7215 0.4833 0.9855  1 Cr 1.65
O 0.7785 0.5167 0.4855  1 Cr 1.65
O 0.2785 0.9833 0.5145  1 Cr 1.65
O 0.2395 0.0058 0.7391  1 Cr 1.62
O 0.7395 0.4942 0.2609  1 Cr 1.62
O 0.7605 0.5058 0.7609  1 Cr 1.62
O 0.2605 0.9942 0.2391  1 Cr 1.62

---

Record 3
## SiWS2N (SCAN)

Data for a crystal of SiWS2N relaxed with PBEsol.

Results
Its formation energy (no corrections) is 1.87 eV per formula unit.

Cell lengths 3.7709, 4.7532, 4.7532 Å; angles 90.00, 90.00, 90.00 degrees
With the nearest neighbours (Å) after each atom.
Fractional coordinates of all 5 atoms:
S 0.0000 0.0000 0.5000  2 W 2.38
S 0.0000 0.5000 0.0000  2 W 2.38
Si 0.5000 0.5000 0.5000  8 S 3.03, 4 N 3.36
W 0.0000 0.0000 0.0000  2 N 1.89
N 0.5000 0.0000 0.0000  2 W 1.89

---

Record 4
## CaZr2Ni (SCAN)

Data for a crystal of CaZr2Ni relaxed with PBEsol.

Results
Its formation energy is 368.1 meV/atom.

Cell lengths 4.1097, 4.1097, 4.8690 Å; angles 90.00, 90.00, 90.00 degrees
With the nearest neighbours (Å) after each atom.
Fractional coordinates of all 4 atoms:
Ca 0.5000 0.5000 0.5000  4 Ni 2.91, 8 Zr 3.19
Ni 0.0000 0.0000 0.5000  4 Ca 2.91, 8 Zr 3.19
Zr 0.0000 0.5000 0.0000  4 Zr 2.91, 4 Ca 3.19, 4 Ni 3.19
Zr 0.5000 0.0000 0.0000  4 Zr 2.91, 4 Ca 3.19, 4 Ni 3.19

---

Record 5
## BaScP2 (SCAN)

Data for a crystal of BaScP2 relaxed with PBEsol.

Results
Its formation energy is -1089.8 meV/atom.

Cell lengths 3.9513, 3.9513, 7.6290 Å; angles 74.99, 74.99, 60.00 degrees
With the nearest neighbours (Å) after each atom.
Fractional coordinates of all 4 atoms:
Ba 0.2470 0.2470 0.2589  6 P 3.14-3.24
P 0.0194 0.0194 0.9419  3 Sc 2.70
P 0.8148 0.8148 0.5555  3 Sc 2.66
Sc 0.4188 0.4188 0.7436  6 P 2.66-2.70

---

Record 6
## Ba6Ho2Al2Rh2O15 (SCAN)

Data for a crystal of Ba6Ho2Al2Rh2O15 relaxed with PBEsol.

Results
Its formation energy (no corrections) is -77.21 eV per formula unit.

Cell lengths 5.8442, 5.8442, 14.6889 Å; angles 90.00, 90.00, 120.11 degrees
With the nearest neighbours (Å) after each atom.
Fractional coordinates of all 27 atoms:
Ba 0.6712 0.3288 0.1889  5 O 2.66-2.83
Ba 0.6712 0.3288 0.8111  5 O 2.66-2.83
Ba 0.9860 0.0140 0.0000  6 O 2.72-2.91
Ba 0.3396 0.6604 0.6462  8 O 2.77-2.95
Ba 0.3396 0.6604 0.3538  8 O 2.77-2.95
Ba 0.0145 0.9855 0.5000  10 O 2.89-3.08
Ho 0.0055 0.9945 0.2488  6 O 2.14-2.28
Ho 0.0055 0.9945 0.7512  6 O 2.14-2.28
Al 0.3359 0.6641 0.1149  4 O 1.75-1.77
Al 0.3359 0.6641 0.8851  4 O 1.75-1.77
Rh 0.6766 0.3234 0.5841  5 O 1.98-2.03
Rh 0.6766 0.3234 0.4159  5 O 1.98-2.03
O 0.1603 0.3466 0.1620  1 Al 1.75
O 0.1645 0.8355 0.1387  1 Al 1.77
O 0.6534 0.8397 0.1620  1 Al 1.75
O 0.1603 0.3466 0.8380  1 Al 1.75
O 0.1645 0.8355 0.8613  1 Al 1.77
O 0.6534 0.8397 0.8380  1 Al 1.75
O 0.8325 0.1675 0.3319  1 Rh 2.00, 1 Ho 2.14
O 0.3529 0.1706 0.3396  1 Rh 1.98, 1 Ho 2.21
O 0.8294 0.6471 0.3396  1 Rh 1.98, 1 Ho 2.21
O 0.8325 0.1675 0.6681  1 Rh 2.00, 1 Ho 2.14
O 0.3529 0.1706 0.6604  1 Rh 1.98, 1 Ho 2.21
O 0.8294 0.6471 0.6604  1 Rh 1.98, 1 Ho 2.21
O 0.3804 0.6196 0.0000  2 Al 1.75
O 0.9942 0.4695 0.5000  2 Rh 2.03
O 0.5305 0.0058 0.5000  2 Rh 2.03

---

Record 7
## ScWAu (SCAN)

Data for a crystal of ScWAu relaxed with PBEsol.

Results
Its formation energy is 514.9 meV/atom.

Cell lengths 4.4184, 4.4184, 4.4184 Å; angles 60.00, 60.00, 60.00 degrees
With the nearest neighbours (Å) after each atom.
Fractional coordinates of all 3 atoms:
Au 0.2500 0.2500 0.2500  4 Sc 2.71, 4 W 2.71
Sc 0.0000 0.0000 0.0000  4 Au 2.71
W 0.5000 0.5000 0.5000  4 Au 2.71

---

Record 8
## Zr2AlCu5 (SCAN)

Data for a crystal of Zr2AlCu5 relaxed with PBEsol.

Results
Its formation energy is -297.5 meV/atom.

Cell lengths 4.0233, 4.7547, 12.0743 Å; angles 90.00, 90.00, 90.00 degrees
With the nearest neighbours (Å) after each atom.
Fractional coordinates of all 16 atoms:
Al 0.0000 0.0000 0.5000  8 Cu 2.38-2.58
Al 0.0000 0.5000 0.0000  8 Cu 2.38-2.58
Cu 0.0000 0.0000 0.0000  2 Al 2.38, 6 Cu 2.47-2.60
Cu 0.0000 0.5000 0.5000  2 Al 2.38, 6 Cu 2.47-2.60
Cu 0.0000 0.7554 0.6908  5 Cu 2.52-2.77, 1 Al 2.58, 2 Zr 2.68
Cu 0.0000 0.2446 0.3092  5 Cu 2.52-2.77, 1 Al 2.58, 2 Zr 2.68
Cu 0.0000 0.7446 0.1908  5 Cu 2.52-2.77, 1 Al 2.58, 2 Zr 2.68
Cu 0.0000 0.2554 0.8092  5 Cu 2.52-2.77, 1 Al 2.58, 2 Zr 2.68
Cu 0.5000 0.2519 0.9352  2 Al 2.46, 4 Cu 2.47-2.52, 3 Zr 2.63-2.74
Cu 0.5000 0.7481 0.0648  2 Al 2.46, 4 Cu 2.47-2.52, 3 Zr 2.63-2.74
Cu 0.5000 0.2481 0.4352  2 Al 2.46, 4 Cu 2.47-2.52, 3 Zr 2.63-2.74
Cu 0.5000 0.7519 0.5648  2 Al 2.46, 4 Cu 2.47-2.52, 3 Zr 2.63-2.74
Zr 0.5000 0.2569 0.6624  5 Cu 2.63-2.74
Zr 0.5000 0.7431 0.3376  5 Cu 2.63-2.74
Zr 0.5000 0.2431 0.1624  5 Cu 2.63-2.74
Zr 0.5000 0.7569 0.8376  5 Cu 2.63-2.74

---

Record 9
## ScSbIN2 (SCAN)

Data for a crystal of ScSbIN2 relaxed with PBEsol.

Results
Its formation energy (no corrections) is 5.11 eV per formula unit.

Cell lengths 4.0973, 4.0973, 5.8590 Å; angles 90.00, 90.00, 90.00 degrees
With the nearest neighbours (Å) after each atom.
Fractional coordinates of all 5 atoms:
I 0.0000 0.0000 0.5000  4 Sc 2.90, 2 Sb 2.93
Sb 0.0000 0.0000 0.0000  4 N 2.05
Sc 0.5000 0.5000 0.5000  4 I 2.90
N 0.0000 0.5000 0.0000  2 Sb 2.05
N 0.5000 0.0000 0.0000  2 Sb 2.05

---

Record 10
## TiZnSnO4 (SCAN)

Data for a crystal of TiZnSnO4 relaxed with PBEsol.

Results
Its formation energy (no corrections) is -15.20 eV per formula unit.

Cell lengths 5.2307, 8.6171, 19.6646 Å; angles 90.00, 90.00, 90.00 degrees
With the nearest neighbours (Å) after each atom.
Fractional coordinates of all 56 atoms:
Ti 0.7340 0.6900 0.3252  4 O 1.76-1.87
Ti 0.2340 0.3100 0.6748  4 O 1.76-1.87
Ti 0.2340 0.8100 0.8252  4 O 1.76-1.87
Ti 0.7340 0.1900 0.1748  4 O 1.76-1.87
Ti 0.2030 0.2328 0.4262  4 O 1.81-1.84
Ti 0.7030 0.7672 0.5738  4 O 1.81-1.84
Ti 0.7030 0.2672 0.9262  4 O 1.81-1.84
Ti 0.2030 0.7328 0.0738  4 O 1.81-1.84
Zn 0.7041 0.3109 0.3413  4 O 1.95-1.98
Zn 0.2041 0.6891 0.6587  4 O 1.95-1.98
Zn 0.2041 0.1891 0.8413  4 O 1.95-1.98
Zn 0.7041 0.8109 0.1587  4 O 1.95-1.98
Zn 0.7083 0.0029 0.4459  4 O 1.89-1.97
Zn 0.2083 0.9971 0.5541  4 O 1.89-1.97
Zn 0.2083 0.4971 0.9459  4 O 1.89-1.97
Zn 0.7083 0.5029 0.0541  4 O 1.89-1.97
Sn 0.2438 0.5681 0.2271  3 O 2.08-2.25
Sn 0.7438 0.4319 0.7729  3 O 2.08-2.25
Sn 0.7438 0.9319 0.7271  3 O 2.08-2.25
Sn 0.2438 0.0681 0.2729  3 O 2.08-2.25
Sn 0.3363 0.6292 0.4440  3 O 2.22-2.26
Sn 0.8363 0.3708 0.5560  3 O 2.22-2.26
Sn 0.8363 0.8708 0.9440  3 O 2.22-2.26
Sn 0.3363 0.1292 0.0560  3 O 2.22-2.26
O 0.5708 0.7168 0.2416  1 Ti 1.87, 1 Zn 1.95
O 0.0708 0.2832 0.7584  1 Ti 1.87, 1 Zn 1.95
O 0.0708 0.7832 0.7416  1 Ti 1.87, 1 Zn 1.95
O 0.5708 0.2168 0.2584  1 Ti 1.87, 1 Zn 1.95
O 0.6634 0.8382 0.3839  1 Ti 1.76, 1 Zn 1.89
O 0.1634 0.1618 0.6161  1 Ti 1.76, 1 Zn 1.89
O 0.1634 0.6618 0.8839  1 Ti 1.76, 1 Zn 1.89
O 0.6634 0.3382 0.1161  1 Ti 1.76, 1 Zn 1.89
O 0.5763 0.5177 0.3644  1 Ti 1.87, 1 Zn 1.96
O 0.0763 0.4823 0.6356  1 Ti 1.87, 1 Zn 1.96
O 0.0763 0.9823 0.8644  1 Ti 1.87, 1 Zn 1.96
O 0.5763 0.0177 0.1356  1 Ti 1.87, 1 Zn 1.96
O 0.0699 0.6560 0.3138  1 Ti 1.80
O 0.5699 0.3440 0.6862  1 Ti 1.80
O 0.5699 0.8440 0.8138  1 Ti 1.80
O 0.0699 0.1560 0.1862  1 Ti 1.80
O 0.0650 0.2491 0.3406  1 Ti 1.84, 1 Zn 1.96
O 0.5650 0.7509 0.6594  1 Ti 1.84, 1 Zn 1.96
O 0.5650 0.2509 0.8406  1 Ti 1.84, 1 Zn 1.96
O 0.0650 0.7491 0.1594  1 Ti 1.84, 1 Zn 1.96
O 0.0527 0.0715 0.4692  1 Ti 1.81, 2 Zn 1.95-1.97
O 0.5527 0.9285 0.5308  1 Ti 1.81, 2 Zn 1.95-1.97
O 0.5527 0.4285 0.9692  1 Ti 1.81, 2 Zn 1.95-1.97
O 0.0527 0.5715 0.0308  1 Ti 1.81, 2 Zn 1.95-1.97
O 0.1414 0.4087 0.4763  1 Ti 1.84
O 0.6414 0.5913 0.5237  1 Ti 1.84
O 0.6414 0.0913 0.9763  1 Ti 1.84
O 0.1414 0.9087 0.0237  1 Ti 1.84
O 0.5420 0.1939 0.4166  1 Ti 1.81, 2 Zn 1.95-1.98
O 0.0420 0.8061 0.5834  1 Ti 1.81, 2 Zn 1.95-1.98
O 0.0420 0.3061 0.9166  1 Ti 1.81, 2 Zn 1.95-1.98
O 0.5420 0.6939 0.0834  1 Ti 1.81, 2 Zn 1.95-1.98

---

Record 11
## Tb7Rh3 (SCAN)

Data for a crystal of Tb7Rh3 relaxed with PBEsol.

Results
Its formation energy is -705.8 meV/atom.

Cell lengths 6.0621, 9.6734, 9.6734 Å; angles 120.00, 90.00, 90.00 degrees
With the nearest neighbours (Å) after each atom.
Fractional coordinates of all 20 atoms:
Tb 0.0402 0.3333 0.6667  3 Rh 2.77
Tb 0.5402 0.6667 0.3333  3 Rh 2.77
Tb 0.2537 0.1237 0.8763  3 Rh 2.82-2.88
Tb 0.2537 0.1237 0.2473  3 Rh 2.82-2.88
Tb 0.2537 0.7527 0.8763  3 Rh 2.82-2.88
Tb 0.7537 0.8763 0.1237  3 Rh 2.82-2.88
Tb 0.7537 0.8763 0.7527  3 Rh 2.82-2.88
Tb 0.7537 0.2473 0.1237  3 Rh 2.82-2.88
Tb 0.0535 0.5403 0.4597  2 Rh 2.77
Tb 0.0535 0.5403 0.0807  2 Rh 2.77
Tb 0.0535 0.9193 0.4597  2 Rh 2.77
Tb 0.5535 0.4597 0.5403  2 Rh 2.77
Tb 0.5535 0.4597 0.9193  2 Rh 2.77
Tb 0.5535 0.0807 0.5403  2 Rh 2.77
Rh 0.3149 0.8103 0.1897  6 Tb 2.77-2.88
Rh 0.3149 0.8103 0.6205  6 Tb 2.77-2.88
Rh 0.3149 0.3795 0.1897  6 Tb 2.77-2.88
Rh 0.8149 0.1897 0.8103  6 Tb 2.77-2.88
Rh 0.8149 0.1897 0.3795  6 Tb 2.77-2.88
Rh 0.8149 0.6205 0.8103  6 Tb 2.77-2.88

---

Record 12
## Na2SnPb (SCAN)

Data for a crystal of Na2SnPb relaxed with PBEsol.

Results
Its formation energy is -220.2 meV/atom.

Cell lengths 5.2676, 5.2676, 5.2676 Å; angles 60.00, 60.00, 60.00 degrees
With the nearest neighbours (Å) after each atom.
Fractional coordinates of all 4 atoms:
Pb 0.5000 0.5000 0.5000  8 Na 3.23
Na 0.2500 0.2500 0.2500  4 Pb 3.23, 4 Sn 3.23
Na 0.7500 0.7500 0.7500  4 Pb 3.23, 4 Sn 3.23
Sn 0.0000 0.0000 0.0000  8 Na 3.23

---

Calculated values (eV/atom) of electronic total energy for the records, taken in order: -28.876; -7.381; -21.277; -21.440; -19.736; -21.815; -50.512; -18.441; -20.342; -15.084; -43.571; -30.253.